Entry from the Alexandria database: crystalline Tb2TeN at its relaxed geometry (PBE).

```
Tb2TeN
1.0
-0.329 2.944 -2.324
-2.761 -0.794 2.434
6.037 8.185 9.517
Tb Te N
4 2 2
direct
0.667 0.333 0.908
0.667 0.333 0.592
0.333 0.667 0.092
0.333 0.667 0.408
0.667 0.333 0.250
0.333 0.667 0.750
0.000 0.000 0.500
0.000 0.000 0.000
```

Calculated values
E_form (uncorrected) in eV per atom: -1.400
SG: P6_3/mmc (194)
Total DFT energy (no corrections) in eV/atom: -6.58

=====

Entry from the Alexandria database: crystalline Tb5Te5N2 at its relaxed geometry (PBE).

```
Tb5Te5N2
1.0
-1.526 -3.066 2.143
2.895 -3.271 -6.427
9.071 -0.731 5.413
Te Tb N
5 5 2
direct
0.352 0.703 0.925
0.648 0.297 0.075
0.500 0.000 0.500
0.239 0.479 0.627
0.761 0.521 0.373
0.903 0.806 0.682
0.097 0.194 0.318
0.000 0.000 0.000
0.390 0.780 0.233
0.610 0.220 0.767
0.036 0.072 0.790
0.964 0.928 0.210
```

Calculated values
E_form (uncorrected) in eV per atom: -1.345
SG: C2/m (12)
Total DFT energy (no corrections) in eV/atom: -5.97

=====

Entry from the Alexandria database: crystalline Tb4Te3N at its relaxed geometry (PBE).

```
Tb4Te3N
1.0
-3.610 -4.509 1.610
1.250 -3.524 -7.065
7.912 -4.953 3.870
Tb Te N
8 6 2
direct
0.605 0.128 0.000
0.064 0.236 0.796
0.064 0.236 0.204
0.564 0.764 0.296
0.580 0.141 0.500
0.564 0.764 0.704
0.105 0.872 0.500
0.080 0.859 0.000
0.066 0.644 0.262
0.583 0.748 0.000
0.066 0.644 0.738
0.566 0.356 0.762
0.566 0.356 0.238
0.083 0.252 0.500
0.989 0.136 0.000
0.489 0.864 0.500
```

Calculated values
E_form (uncorrected) in eV per atom: -1.201
SG: Pmn2_1 (31)
Total DFT energy (no corrections) in eV/atom: -5.73

=====

Entry from the Alexandria database: crystalline Tb3Te3N at its relaxed geometry (PBE).

```
Tb3Te3N
1.0
-3.056 -2.736 -0.678
9.034 -8.775 -5.319
2.103 -5.467 12.591
Tb N Te
12 4 12
direct
0.250 0.186 0.850
0.750 0.448 0.136
0.250 0.552 0.864
0.750 0.461 0.660
0.750 0.961 0.840
0.250 0.039 0.160
0.750 0.814 0.150
0.750 0.314 0.350
0.250 0.052 0.636
0.250 0.686 0.650
0.250 0.539 0.340
0.750 0.948 0.364
0.750 0.967 0.207
0.750 0.467 0.293
0.250 0.033 0.793
0.250 0.533 0.707
0.750 0.220 0.679
0.250 0.280 0.179
0.250 0.376 0.498
0.250 0.106 0.397
0.250 0.876 0.002
0.250 0.780 0.321
0.750 0.124 0.998
0.250 0.606 0.103
0.750 0.894 0.603
0.750 0.624 0.502
0.750 0.720 0.821
0.750 0.394 0.897
```

Calculated values
E_form (uncorrected) in eV per atom: -1.480
SG: Pnma (62)
Total DFT energy (no corrections) in eV/atom: -6.00